No. 1
Density functional theory data (SCAN) for Ta2OsRu at its PBEsol-relaxed geometry.

Results
- energy of formation (eV per formula unit) = -0.6

Cell: 5.6020 8.4710 2.8003 Å, 90.00 110.07 90.00°
Fractional coordinates of all 8 atoms:
Ta 0.2500 0.2500 0.0000
Ta 0.2500 0.7500 0.0000
Ta 0.7500 0.2500 0.0000
Ta 0.7500 0.7500 0.0000
Os 0.0000 0.0000 0.5000
Os 0.5000 0.5000 0.5000
Ru 0.0000 0.5000 0.5000
Ru 0.5000 0.0000 0.5000



No. 2
Density functional theory data (SCAN) for Tb5Mo2O12 at its PBEsol-relaxed geometry.

Results
- E_form (uncorrected) (eV per atom) = -3.3683

Cell: 6.7479 6.7479 7.5071 Å, 106.32 106.32 49.90°
Fractional coordinates of all 19 atoms:
Tb 0.0000 0.0000 0.0000
Tb 0.3061 0.3061 0.1403
Tb 0.3147 0.3147 0.6768
Tb 0.6853 0.6853 0.3232
Tb 0.6939 0.6939 0.8597
Mo 0.2180 0.7820 0.5000
Mo 0.7820 0.2180 0.5000
O 0.0003 0.0003 0.2962
O 0.9997 0.9997 0.7038
O 0.0926 0.5807 0.4180
O 0.0972 0.5924 0.9244
O 0.4076 0.9028 0.0756
O 0.4193 0.9074 0.5820
O 0.4993 0.4993 0.3187
O 0.5007 0.5007 0.6813
O 0.5807 0.0926 0.4180
O 0.5924 0.0972 0.9244
O 0.9028 0.4076 0.0756
O 0.9074 0.4193 0.5820



No. 3
Density functional theory data (SCAN) for Co2Mo at its PBEsol-relaxed geometry.

Results
- energy of formation (eV per formula unit) = 0.9

Cell: 2.5974 2.5974 6.2268 Å, 90.00 90.00 120.00°
Fractional coordinates of all 3 atoms:
Co 0.3333 0.6667 0.1521
Co 0.6667 0.3333 0.8479
Mo 0.0000 0.0000 0.5000



No. 4
Density functional theory data (SCAN) for ZnFeAs3 at its PBEsol-relaxed geometry.

Results
- energy of formation (eV per formula unit) = 5.5

Cell: 4.7066 4.7066 4.7066 Å, 90.00 90.00 90.00°
Fractional coordinates of all 5 atoms:
Zn 0.0000 0.0000 0.0000
Fe 0.5000 0.5000 0.5000
As 0.0000 0.0000 0.5000
As 0.0000 0.5000 0.0000
As 0.5000 0.0000 0.0000



No. 5
Density functional theory data (SCAN) for MgSc2 at its PBEsol-relaxed geometry.

Results
- energy of formation (eV per formula unit) = 0.0

Cell: 13.6606 13.6606 13.6606 Å, 160.71 160.71 27.41°
Fractional coordinates of all 12 atoms:
Mg 0.2914 0.5414 0.7500
Mg 0.4586 0.7086 0.7500
Mg 0.5414 0.2914 0.2500
Mg 0.7086 0.4586 0.2500
Sc 0.0425 0.7925 0.2500
Sc 0.1238 0.3738 0.7500
Sc 0.2075 0.9575 0.2500
Sc 0.3738 0.1238 0.2500
Sc 0.6262 0.8762 0.7500
Sc 0.7925 0.0425 0.7500
Sc 0.8762 0.6262 0.2500
Sc 0.9575 0.2075 0.7500



No. 6
Density functional theory data (SCAN) for YAg4Hg at its PBEsol-relaxed geometry.

Results
- energy of formation (eV per formula unit) = -1.4

Cell: 5.4515 5.4515 5.4515 Å, 60.00 60.00 60.00°
Fractional coordinates of all 6 atoms:
Y 0.0000 0.0000 0.0000
Ag 0.3753 0.3753 0.3753
Ag 0.3753 0.3753 0.8742
Ag 0.3753 0.8742 0.3753
Ag 0.8742 0.3753 0.3753
Hg 0.7500 0.7500 0.7500



No. 7
Density functional theory data (SCAN) for MnRh3 at its PBEsol-relaxed geometry.

Results
- energy of formation (eV per formula unit) = -0.9

Cell: 8.7652 2.6834 4.5576 Å, 90.00 100.89 90.00°
Fractional coordinates of all 8 atoms:
Mn 0.0000 0.0000 0.0000
Mn 0.5000 0.5000 0.0000
Rh 0.0000 0.5000 0.5000
Rh 0.2466 0.5000 0.2477
Rh 0.2534 0.0000 0.7523
Rh 0.5000 0.0000 0.5000
Rh 0.7466 0.0000 0.2477
Rh 0.7534 0.5000 0.7523



No. 8
Density functional theory data (SCAN) for CrNi at its PBEsol-relaxed geometry.

Results
- energy of formation (eV per formula unit) = 2.3

Cell: 3.8838 3.8838 4.6399 Å, 90.00 90.00 120.00°
Fractional coordinates of all 4 atoms:
Cr 0.3333 0.6667 0.2500
Cr 0.6667 0.3333 0.7500
Ni 0.3333 0.6667 0.7500
Ni 0.6667 0.3333 0.2500



No. 9
Density functional theory data (SCAN) for Be2RhBr at its PBEsol-relaxed geometry.

Results
- E_form (uncorrected) (eV per atom) = 0.3437

Cell: 5.3811 6.4160 2.9407 Å, 90.00 90.00 90.00°
Fractional coordinates of all 8 atoms:
Be 0.2500 0.2500 0.0000
Be 0.2500 0.7500 0.0000
Be 0.7500 0.2500 0.0000
Be 0.7500 0.7500 0.0000
Rh 0.0000 0.0000 0.5000
Rh 0.5000 0.5000 0.5000
Br 0.0000 0.5000 0.5000
Br 0.5000 0.0000 0.5000



No. 10
Density functional theory data (SCAN) for BaAlAu at its PBEsol-relaxed geometry.

Results
- energy of formation (eV per formula unit) = -2.0

Cell: 4.5099 4.5099 4.7760 Å, 90.00 90.00 120.00°
Fractional coordinates of all 3 atoms:
Ba 0.0000 0.0000 0.0000
Al 0.3333 0.6667 0.5000
Au 0.6667 0.3333 0.5000



No. 11
Density functional theory data (SCAN) for ZrAlPt2Au at its PBEsol-relaxed geometry.

Results
- energy of formation (eV per formula unit) = 2.2

Cell: 4.9357 4.9357 4.3839 Å, 90.00 90.00 90.00°
Fractional coordinates of all 5 atoms:
Zr 0.0000 0.0000 0.0000
Al 0.5000 0.5000 0.0000
Pt 0.0000 0.5000 0.5000
Pt 0.5000 0.0000 0.5000
Au 0.5000 0.5000 0.5000



No. 12
Density functional theory data (SCAN) for KTe2PbN at its PBEsol-relaxed geometry.

Results
- E_form (uncorrected) (eV per atom) = 1.0612

Cell: 5.9694 5.9694 4.7445 Å, 90.00 90.00 90.00°
Fractional coordinates of all 5 atoms:
K 0.0000 0.0000 0.0000
Te 0.0000 0.5000 0.0000
Te 0.5000 0.0000 0.0000
Pb 0.5000 0.5000 0.5000
N 0.0000 0.0000 0.5000



One value per record, in order, for DFT total energy: -60.128, -23.282, -22.872, -17.341, -11.139, -37.146, -30.110, -16.133, -15.141, -39.502, -49.161, -32.520 eV per atom.